PBE Cs2MgGeBr6, optimized geometry; formation energy from raw total energies = -1.34 eV per atom; density = 4.12 Mg/m³; D(E_F) = 0.00 states/eV/cell; E_tot = -3.13 eV per atom; total moment = 0.0 Bohr magnetons per cell
1.0
-1.100 3.859 6.727
-2.267 -6.658 3.448
3.560 -2.434 6.538
Cs Ge Mg Br
2 1 1 6
Cartesian
0.388 0.013 9.176
-0.196 -5.246 7.537
0.000 0.000 0.000
-1.684 -1.400 5.088
0.890 -1.907 5.800
-0.697 -3.326 10.914
-0.858 -0.713 2.592
-2.509 -2.086 7.583
-1.397 1.180 5.892
-1.970 -3.979 4.283